DFT (PBE-GGA) results for crystalline Cs2CaInF6 at its relaxed geometry.

abc: 6.5533 9.2691 6.5531
angles: 90.00 90.00 90.00
With the nearest neighbours (Å) after each atom.
Space group Pmmn (No. 59, origin choice 2)
Unique sites:
1 Cs 0.2500 0.0001 0.2500 [4 per cell]  12 F 3.27-3.28
2 Ca 0.2500 0.2500 0.7497 [2 per cell]  6 F 2.28
3 In 0.2500 0.7500 0.7502 [2 per cell]  6 F 2.35
4 F 0.0032 0.2500 0.5034 [4 per cell]  1 Ca 2.28, 1 In 2.35
5 F 0.0034 0.2500 0.9961 [4 per cell]  1 Ca 2.28, 1 In 2.35
6 F 0.2500 0.0036 0.7495 [4 per cell]  1 Ca 2.28, 1 In 2.35

Calculated values
The density comes out at 4.46 g cm⁻³. The calculation puts the total moment at 0.0930 μB/atom. For the final energy, the calculation gives -4.665 eV/atom.